Here is an optimized crystal structure of Pm3Cr5O12 from Alexandria. Energies are from GGA+U.

Calculated values
Calculated total energy in eV/atom: -7.949
Space-group type: Ia-3d
Size of the total moment in μB per formula unit: 15.00
Density in Mg/m³: 5.68

a = 11.042 Å, b = 11.042 Å, c = 11.042 Å
α = 109.47°, β = 109.47°, γ = 109.47°
Fractional coordinates of all 80 atoms:
Pm1 0.125 0.250 0.375
Pm2 0.125 0.375 0.750
Pm3 0.250 0.375 0.125
Pm4 0.250 0.875 0.625
Pm5 0.375 0.125 0.250
Pm6 0.375 0.750 0.125
Pm7 0.625 0.250 0.875
Pm8 0.625 0.875 0.750
Pm9 0.750 0.125 0.375
Pm10 0.750 0.625 0.875
Pm11 0.875 0.625 0.250
Pm12 0.875 0.750 0.625
Cr1 0.000 0.000 0.000
Cr2 0.000 0.000 0.500
Cr3 0.000 0.500 0.000
Cr4 0.000 0.500 0.500
Cr5 0.125 0.750 0.875
Cr6 0.125 0.875 0.250
Cr7 0.250 0.125 0.875
Cr8 0.250 0.625 0.375
Cr9 0.375 0.250 0.625
Cr10 0.375 0.625 0.750
Cr11 0.500 0.000 0.000
Cr12 0.500 0.000 0.500
Cr13 0.500 0.500 0.000
Cr14 0.500 0.500 0.500
Cr15 0.625 0.375 0.250
Cr16 0.625 0.750 0.375
Cr17 0.750 0.375 0.625
Cr18 0.750 0.875 0.125
Cr19 0.875 0.125 0.750
Cr20 0.875 0.250 0.125
O1 0.026 0.201 0.127
O2 0.026 0.325 0.899
O3 0.074 0.701 0.675
O4 0.074 0.873 0.399
O5 0.101 0.627 0.426
O6 0.101 0.974 0.675
O7 0.127 0.026 0.201
O8 0.127 0.601 0.926
O9 0.175 0.201 0.574
O10 0.175 0.474 0.601
O11 0.201 0.127 0.026
O12 0.201 0.574 0.175
O13 0.299 0.325 0.926
O14 0.299 0.474 0.373
O15 0.325 0.899 0.026
O16 0.325 0.926 0.299
O17 0.373 0.299 0.474
O18 0.373 0.574 0.899
O19 0.399 0.074 0.873
O20 0.399 0.825 0.526
O21 0.426 0.101 0.627
O22 0.426 0.825 0.799
O23 0.474 0.373 0.299
O24 0.474 0.601 0.175
O25 0.526 0.399 0.825
O26 0.526 0.627 0.701
O27 0.574 0.175 0.201
O28 0.574 0.899 0.373
O29 0.601 0.175 0.474
O30 0.601 0.926 0.127
O31 0.627 0.426 0.101
O32 0.627 0.701 0.526
O33 0.675 0.074 0.701
O34 0.675 0.101 0.974
O35 0.701 0.526 0.627
O36 0.701 0.675 0.074
O37 0.799 0.426 0.825
O38 0.799 0.873 0.974
O39 0.825 0.526 0.399
O40 0.825 0.799 0.426
O41 0.873 0.399 0.074
O42 0.873 0.974 0.799
O43 0.899 0.026 0.325
O44 0.899 0.373 0.574
O45 0.926 0.127 0.601
O46 0.926 0.299 0.325
O47 0.974 0.675 0.101
O48 0.974 0.799 0.873